This record from Alexandria via LeMat-Bulk describes KBe after structural relaxation. The functional is PBE-GGA.

extended XYZ file:
```
4
Lattice="4.547 0.000 0.000 0.000 4.201 0.000 0.000 0.000 8.360" Properties=species:S:1:pos:R:3 pbc="T T T"
Be 0.000 2.101 1.545
Be 0.000 0.000 1.241
K 2.273 2.101 7.718
K 2.273 0.000 3.428
```

The energy above the most stable polymorph in this dataset comes out at 0.154 eV/atom. The calculated formation energy is 1.48 eV/f.u. For the total magnetization, the calculation gives 0.00 μB per cell.